# 1
meta-GGA SCAN TlHg2Se, PBEsol geometry; energy = -57.3336 eV/atom
1.0
-2.507 -3.003 -1.394
0.197 -3.804 1.654
-5.597 -0.448 4.848
Se Hg Tl
1 2 1
Direct
0.499 0.499 0.504
0.011 0.011 0.966
0.758 0.758 0.726
0.248 0.248 0.256

=====

# 2
meta-GGA SCAN TlHgSe2, PBEsol geometry; energy = -45.1537 eV/atom
1.0
4.304 0.000 0.000
2.152 3.727 0.000
2.152 1.242 6.246
Se Tl Hg
2 1 1
Direct
0.987 0.987 0.040
0.754 0.754 0.739
0.493 0.493 0.520
0.266 0.266 0.202